1.
ThTlRuRh after structural relaxation, computed with GGA-PBE.

Summary:
Fermi-level density of states, states/eV per atom: 0.1822
Calculated total energy, eV/atom: -6.9365
SG: F-43m
ΔE_f, meV per atom: -333

Unit cell a=4.847 b=4.847 c=4.847 alpha=60.00 beta=60.00 gamma=60.00
Fractional coordinates of all 4 atoms:
Ru 0.250 0.250 0.250
Tl 0.500 0.500 0.500
Rh 0.750 0.750 0.750
Th 0.000 0.000 0.000

***

2.
PuZrTcOs after structural relaxation, computed with GGA-PBE.

Summary:
Fermi-level density of states, states/eV per atom: 1.2486
Calculated total energy, eV/atom: -11.2976
SG: F-43m
ΔE_f, meV per atom: -179

Unit cell a=4.708 b=4.708 c=4.708 alpha=60.00 beta=60.00 gamma=60.00
Each line ends with the local moment (μB).
Fractional coordinates of all 4 atoms:
Os 0.500 0.500 0.500  -0.31
Tc 0.000 0.000 0.000  -0.46
Zr 0.250 0.250 0.250  0.07
Pu 0.750 0.750 0.750  4.61

***

3.
Cs2NaCdSb after structural relaxation, computed with GGA-PBE.

Summary:
Fermi-level density of states, states/eV per atom: 0.4538
Calculated total energy, eV/atom: -1.7223
SG: P4/mmm
Formation energy (no corrections), eV per atom: -0.110

Unit cell a=7.542 b=7.542 c=5.925 alpha=90.00 beta=90.00 gamma=90.00
Fractional coordinates of all 5 atoms:
Cs 0.000 0.500 0.000
Cs 0.500 0.000 0.000
Sb 0.000 0.000 0.000
Na 0.000 0.000 0.500
Cd 0.500 0.500 0.500

***

4.
K12Pd3Cl5 after structural relaxation, computed with GGA-PBE.

Summary:
Fermi-level density of states, states/eV per atom: 0.2959
Calculated total energy, eV/atom: -2.7662
SG: Ia-3d
Formation energy (no corrections), eV per atom: -0.867

Unit cell a=16.326 b=16.326 c=16.326 alpha=109.47 beta=109.47 gamma=109.47
Fractional coordinates of all 80 atoms:
Pd 0.750 0.375 0.125
Pd 0.875 0.750 0.125
Pd 0.375 0.750 0.625
Pd 0.250 0.125 0.375
Pd 0.875 0.125 0.250
Pd 0.375 0.625 0.250
Pd 0.625 0.375 0.750
Pd 0.125 0.875 0.750
Pd 0.750 0.875 0.625
Pd 0.625 0.250 0.375
Pd 0.125 0.250 0.875
Pd 0.250 0.625 0.875
Cl 0.125 0.375 0.250
Cl 0.000 0.500 0.000
Cl 0.000 0.000 0.000
Cl 0.375 0.250 0.125
Cl 0.500 0.000 0.500
Cl 0.500 0.500 0.000
Cl 0.125 0.750 0.375
Cl 0.750 0.125 0.875
Cl 0.750 0.625 0.375
Cl 0.375 0.125 0.750
Cl 0.625 0.875 0.250
Cl 0.500 0.500 0.500
Cl 0.500 0.000 0.000
Cl 0.000 0.000 0.500
Cl 0.250 0.375 0.625
Cl 0.250 0.875 0.125
Cl 0.000 0.500 0.500
Cl 0.875 0.250 0.625
Cl 0.625 0.750 0.875
Cl 0.875 0.625 0.750
K 0.721 0.137 0.049
K 0.328 0.549 0.412
K 0.951 0.363 0.279
K 0.549 0.221 0.137
K 0.584 0.721 0.672
K 0.951 0.588 0.172
K 0.328 0.779 0.416
K 0.088 0.916 0.137
K 0.588 0.951 0.672
K 0.721 0.584 0.172
K 0.779 0.451 0.363
K 0.828 0.912 0.049
K 0.137 0.721 0.549
K 0.363 0.412 0.084
K 0.084 0.912 0.363
K 0.416 0.137 0.588
K 0.084 0.172 0.221
K 0.451 0.672 0.088
K 0.828 0.916 0.279
K 0.137 0.416 0.088
K 0.363 0.951 0.779
K 0.588 0.637 0.416
K 0.912 0.828 0.549
K 0.779 0.328 0.916
K 0.412 0.363 0.584
K 0.088 0.172 0.451
K 0.221 0.672 0.084
K 0.172 0.084 0.721
K 0.637 0.049 0.221
K 0.863 0.584 0.912
K 0.549 0.328 0.912
K 0.584 0.863 0.412
K 0.916 0.828 0.779
K 0.916 0.088 0.637
K 0.863 0.279 0.451
K 0.172 0.088 0.951
K 0.637 0.588 0.916
K 0.412 0.049 0.328
K 0.279 0.416 0.828
K 0.221 0.549 0.637
K 0.912 0.084 0.863
K 0.672 0.221 0.584
K 0.451 0.779 0.863
K 0.049 0.412 0.828
K 0.416 0.279 0.328
K 0.049 0.637 0.721
K 0.672 0.451 0.588
K 0.279 0.863 0.951